Record 1
DFT (GGA-PBEsol) results for crystalline AlAsW2 at its relaxed geometry.

Density of states at the Fermi level: 2.55 states/eV/f.u.
Energy relative to the elements: 0.15 eV per atom
Symmetry: Cm (8)
Energy relative to the lowest polymorph listed for this composition: 4.95 kcal/mol of atoms

Cell and atoms, written as CIF:
```
data_AlAsW2
_chemical_formula_sum 'Al1 As1 W2'
_symmetry_space_group_name_H-M 'P 1'
_symmetry_Int_Tables_number 1
_symmetry_space_group_name_Hall 'P 1'
_cell_length_a 3.0813
_cell_length_b 4.5273
_cell_length_c 4.7563
_cell_angle_alpha 105.32
_cell_angle_beta 108.90
_cell_angle_gamma 90.00
loop_
_atom_site_label
_atom_site_type_symbol
_atom_site_fract_x
_atom_site_fract_y
_atom_site_fract_z
_atom_site_occupancy
As1 As 0.2518 0.7852 0.5035 1
Al1 Al 0.5004 0.4661 0.0007 1
W1 W 0.9939 0.9595 0.9878 1
W2 W 0.7540 0.2892 0.5080 1
```


Record 2
DFT (GGA-PBEsol) results for crystalline AlAsW2 at its relaxed geometry.

Density of states at the Fermi level: 2.80 states/eV/f.u.
Energy relative to the elements: 0.36 eV per atom
Symmetry: Cmmm (65)
Energy relative to the lowest polymorph listed for this composition: 9.70 kcal/mol of atoms

Cell and atoms, written as CIF:
```
data_AlAsW2
_chemical_formula_sum 'Al1 As1 W2'
_symmetry_space_group_name_H-M 'P 1'
_symmetry_Int_Tables_number 1
_symmetry_space_group_name_Hall 'P 1'
_cell_length_a 2.8303
_cell_length_b 2.8303
_cell_length_c 8.3637
_cell_angle_alpha 90.00
_cell_angle_beta 90.00
_cell_angle_gamma 112.52
loop_
_atom_site_label
_atom_site_type_symbol
_atom_site_fract_x
_atom_site_fract_y
_atom_site_fract_z
_atom_site_occupancy
As1 As 0.5000 0.5000 0.0000 1
Al1 Al 0.5000 0.5000 0.5000 1
W1 W 0.0000 0.0000 0.2410 1
W2 W 0.0000 0.0000 0.7590 1
```


Record 3
DFT (GGA-PBEsol) results for crystalline Y3AlAs at its relaxed geometry.

Density of states at the Fermi level: 2.09 states/eV/f.u.
Energy relative to the elements: -0.43 eV per atom
Symmetry: Pm-3m (221)

Cell and atoms, written as CIF:
```
data_Y3AlAs
_chemical_formula_sum 'Y3 Al1 As1'
_symmetry_space_group_name_H-M 'P 1'
_symmetry_Int_Tables_number 1
_symmetry_space_group_name_Hall 'P 1'
_cell_length_a 5.2713
_cell_length_b 5.2713
_cell_length_c 5.2713
_cell_angle_alpha 90.00
_cell_angle_beta 90.00
_cell_angle_gamma 90.00
loop_
_atom_site_label
_atom_site_type_symbol
_atom_site_fract_x
_atom_site_fract_y
_atom_site_fract_z
_atom_site_occupancy
Y1 Y 0.0000 0.5000 0.0000 1
Y2 Y 0.0000 0.0000 0.5000 1
Y3 Y 0.5000 0.0000 0.0000 1
As1 As 0.0000 0.0000 0.0000 1
Al1 Al 0.5000 0.5000 0.5000 1
```


Record 4
DFT (GGA-PBEsol) results for crystalline YAlAs2 at its relaxed geometry.

Density of states at the Fermi level: 1.11 states/eV/f.u.
Energy relative to the elements: -0.63 eV per atom
Symmetry: R-3m (166)

Cell and atoms, written as CIF:
```
data_YAlAs2
_chemical_formula_sum 'Y1 Al1 As2'
_symmetry_space_group_name_H-M 'P 1'
_symmetry_Int_Tables_number 1
_symmetry_space_group_name_Hall 'P 1'
_cell_length_a 4.3813
_cell_length_b 4.3813
_cell_length_c 5.4189
_cell_angle_alpha 66.15
_cell_angle_beta 66.15
_cell_angle_gamma 60.00
loop_
_atom_site_label
_atom_site_type_symbol
_atom_site_fract_x
_atom_site_fract_y
_atom_site_fract_z
_atom_site_occupancy
Y1 Y 0.0000 0.0000 0.0000 1
As1 As 0.2265 0.2265 0.3205 1
As2 As 0.7735 0.7735 0.6795 1
Al1 Al 0.5000 0.5000 0.5000 1
```


Record 5
DFT (GGA-PBEsol) results for crystalline YAlAs2 at its relaxed geometry.

Density of states at the Fermi level: 1.68 states/eV/f.u.
Energy relative to the elements: -0.59 eV per atom
Symmetry: P4/mmm (123)

Cell and atoms, written as CIF:
```
data_YAlAs2
_chemical_formula_sum 'Y1 Al1 As2'
_symmetry_space_group_name_H-M 'P 1'
_symmetry_Int_Tables_number 1
_symmetry_space_group_name_Hall 'P 1'
_cell_length_a 3.6704
_cell_length_b 3.6704
_cell_length_c 5.8247
_cell_angle_alpha 90.00
_cell_angle_beta 90.00
_cell_angle_gamma 90.00
loop_
_atom_site_label
_atom_site_type_symbol
_atom_site_fract_x
_atom_site_fract_y
_atom_site_fract_z
_atom_site_occupancy
Y1 Y 0.5000 0.5000 0.0000 1
As1 As 0.0000 0.0000 0.7422 1
As2 As 0.0000 0.0000 0.2578 1
Al1 Al 0.5000 0.5000 0.5000 1
```


Record 6
DFT (GGA-PBEsol) results for crystalline YAlAs2 at its relaxed geometry.

Density of states at the Fermi level: 1.90 states/eV/f.u.
Energy relative to the elements: -0.63 eV per atom
Symmetry: P4/mmm (123)

Cell and atoms, written as CIF:
```
data_YAlAs2
_chemical_formula_sum 'Y1 Al1 As2'
_symmetry_space_group_name_H-M 'P 1'
_symmetry_Int_Tables_number 1
_symmetry_space_group_name_Hall 'P 1'
_cell_length_a 3.7013
_cell_length_b 4.5808
_cell_length_c 4.5808
_cell_angle_alpha 90.00
_cell_angle_beta 90.00
_cell_angle_gamma 90.00
loop_
_atom_site_label
_atom_site_type_symbol
_atom_site_fract_x
_atom_site_fract_y
_atom_site_fract_z
_atom_site_occupancy
Y1 Y 0.5000 0.5000 0.5000 1
As1 As 0.0000 0.0000 0.5000 1
As2 As 0.0000 0.5000 0.0000 1
Al1 Al 0.5000 0.0000 0.0000 1
```


Record 7
DFT (GGA-PBEsol) results for crystalline YAlZnAs2 at its relaxed geometry.

Density of states at the Fermi level: 2.44 states/eV/f.u.
Energy relative to the elements: 0.58 eV per atom
Symmetry: P4/mmm (123)

Cell and atoms, written as CIF:
```
data_YAlZnAs2
_chemical_formula_sum 'Y1 Al1 Zn1 As2'
_symmetry_space_group_name_H-M 'P 1'
_symmetry_Int_Tables_number 1
_symmetry_space_group_name_Hall 'P 1'
_cell_length_a 5.3081
_cell_length_b 5.3081
_cell_length_c 5.4539
_cell_angle_alpha 90.00
_cell_angle_beta 90.00
_cell_angle_gamma 90.00
loop_
_atom_site_label
_atom_site_type_symbol
_atom_site_fract_x
_atom_site_fract_y
_atom_site_fract_z
_atom_site_occupancy
Y1 Y 0.0000 0.0000 0.0000 1
As1 As 0.0000 0.5000 0.0000 1
As2 As 0.5000 0.0000 0.0000 1
Zn1 Zn 0.0000 0.0000 0.5000 1
Al1 Al 0.5000 0.5000 0.5000 1
```


Record 8
DFT (GGA-PBEsol) results for crystalline AlZnAs2 at its relaxed geometry.

Density of states at the Fermi level: 1.93 states/eV/f.u.
Energy relative to the elements: 0.15 eV per atom
Symmetry: I-4m2 (119)

Cell and atoms, written as CIF:
```
data_AlZnAs2
_chemical_formula_sum 'Al1 Zn1 As2'
_symmetry_space_group_name_H-M 'P 1'
_symmetry_Int_Tables_number 1
_symmetry_space_group_name_Hall 'P 1'
_cell_length_a 3.6903
_cell_length_b 3.6903
_cell_length_c 5.7935
_cell_angle_alpha 108.57
_cell_angle_beta 108.57
_cell_angle_gamma 90.00
loop_
_atom_site_label
_atom_site_type_symbol
_atom_site_fract_x
_atom_site_fract_y
_atom_site_fract_z
_atom_site_occupancy
As1 As 0.0000 0.0000 0.0000 1
As2 As 0.7500 0.2500 0.5000 1
Zn1 Zn 0.5000 0.5000 0.0000 1
Al1 Al 0.2500 0.7500 0.5000 1
```